Run a
First-principles (PBE) data for an optimized crystal structure of Gd2PdN, as listed in the Alexandria database.

Cell: 3.5883 3.5883 7.3156 Å, 75.80 75.80 60.00°
Last column: nearest neighbours and their distance in Å.
Element x y z (fractional)
Gd: 0.7329 0.7329 0.8012  3 N 2.50
Gd: 0.2671 0.2671 0.1988  3 N 2.50
Pd: 0.5000 0.5000 0.5000  6 Gd 2.96
N: 0.0000 0.0000 0.0000  6 Gd 2.50

Summary:
Crystal system: trigonal

=====

Run b
First-principles (PBE) data for an optimized crystal structure of Gd2PdN, as listed in the Alexandria database.

Cell: 3.2104 3.2104 6.8841 Å, 90.00 90.00 90.00°
Last column: nearest neighbours and their distance in Å.
Element x y z (fractional)
Gd: 0.0000 0.0000 0.7902  4 N 2.69, 1 Gd 2.89
Gd: 0.0000 0.0000 0.2098  4 N 2.69, 1 Gd 2.89
Pd: 0.5000 0.5000 0.5000  8 Gd 3.02, 4 Pd 3.21
N: 0.5000 0.5000 0.0000  8 Gd 2.69

Summary:
Crystal system: tetragonal

=====

It is run b that is the least stable of them.

=====

Run a
First-principles (PBE) data for an optimized crystal structure of GdPuN, as listed in the Alexandria database.

Cell: 3.3120 3.3120 6.8644 Å, 103.96 103.96 90.00°
Last column: nearest neighbours and their distance in Å.
Element x y z (fractional)
Gd: 0.1955 0.1955 0.3911  4 N 2.42
Pu: 0.9121 0.9121 0.8242  1 N 2.19
N: 0.7423 0.7423 0.4847  1 Pu 2.19, 4 Gd 2.42

Summary:
Crystal system: tetragonal

=====

Run b
First-principles (PBE) data for an optimized crystal structure of GdPuN, as listed in the Alexandria database.

Cell: 6.1111 3.4773 3.4773 Å, 120.00 90.00 90.00°
Last column: nearest neighbours and their distance in Å.
Element x y z (fractional)
N: 0.3301 0.3333 0.6667  3 Pu 2.42, 3 Gd 2.46
Gd: 0.5620 0.6667 0.3333  3 N 2.46
Pu: 0.1079 0.0000 0.0000  3 N 2.42

Summary:
Crystal system: trigonal

=====

It is run a that is the least stable of them.

=====

Run a
First-principles (PBE) data for an optimized crystal structure of GdSc2N, as listed in the Alexandria database.

Cell: 3.2812 3.2812 8.7234 Å, 79.16 79.16 60.00°
Last column: nearest neighbours and their distance in Å.
Element x y z (fractional)
Sc: 0.2858 0.2858 0.1427  3 N 2.25
Sc: 0.7142 0.7142 0.8573  3 N 2.25
Gd: 0.5000 0.5000 0.5000  6 Gd 3.28, 6 Sc 3.58
N: 0.0000 0.0000 0.0000  6 Sc 2.25

Summary:
Crystal system: trigonal

=====

Run b
First-principles (PBE) data for an optimized crystal structure of GdSc2N, as listed in the Alexandria database.

Cell: 2.9791 2.9791 8.4260 Å, 90.00 90.00 90.00°
Last column: nearest neighbours and their distance in Å.
Element x y z (fractional)
Sc: 0.0000 0.0000 0.8491  4 N 2.46, 1 Sc 2.54
Sc: 0.0000 0.0000 0.1509  4 N 2.46, 1 Sc 2.54
Gd: 0.5000 0.5000 0.5000  4 Gd 2.98
N: 0.5000 0.5000 0.0000  8 Sc 2.46

Summary:
Crystal system: tetragonal

=====

It is run b that is the least stable of them.

=====

Run a
First-principles (PBE) data for an optimized crystal structure of Tb2GdN, as listed in the Alexandria database.

Cell: 3.4725 3.4725 9.6916 Å, 79.68 79.68 60.00°
Last column: nearest neighbours and their distance in Å.
Element x y z (fractional)
Gd: 0.0000 0.0000 0.0000  2 Tb 3.40, 6 Gd 3.47
Tb: 0.1196 0.1196 0.6412  3 N 2.41
Tb: 0.8804 0.8804 0.3588  3 N 2.41
N: 0.5000 0.5000 0.5000  6 Tb 2.41

Summary:
Crystal system: trigonal

=====

Run b
First-principles (PBE) data for an optimized crystal structure of Tb2GdN, as listed in the Alexandria database.

Cell: 3.1796 3.1796 8.9137 Å, 90.00 90.00 90.00°
Last column: nearest neighbours and their distance in Å.
Element x y z (fractional)
Gd: 0.5000 0.5000 0.5000  4 Gd 3.18
Tb: 0.0000 0.0000 0.8412  4 N 2.66, 1 Tb 2.83
Tb: 0.0000 0.0000 0.1588  4 N 2.66, 1 Tb 2.83
N: 0.5000 0.5000 0.0000  8 Tb 2.66

Summary:
Crystal system: tetragonal

=====

It is run b that is the least stable of them.